Compound: PrDyTm4
Source: the Alexandria database
Functional: GGA-PBE
Structure: relaxed

Unit cell a=6.5595 b=6.5595 c=6.5595 alpha=60.00 beta=60.00 gamma=60.00
Last column: nearest neighbours and their distance in Å.
Fractional coordinates of all 6 atoms:
Pr  0.0000  0.0000  0.0000  12 Tm 3.85, 4 Dy 4.02
Dy  0.2500  0.2500  0.2500  12 Tm 3.84, 4 Pr 4.02
Tm  0.1267  0.6244  0.6244  6 Tm 3.26-3.29
Tm  0.6244  0.1267  0.6244  6 Tm 3.26-3.29
Tm  0.6244  0.6244  0.1267  6 Tm 3.26-3.29
Tm  0.6244  0.6244  0.6244  6 Tm 3.26-3.29

**Symmetry**: No. 216
**Formation energy**: 0.28 eV per atom
**ΔE to the lowest computed polymorph**: 255 meV per atom
**Final energy**: -4.26 eV per atom
**Magnetization**: 1.6 μB per formula unit

***

Compound: Pr16Dy6Tm7
Source: the Alexandria database
Functional: GGA-PBE
Structure: relaxed

Unit cell a=11.3448 b=11.3448 c=11.3448 alpha=60.00 beta=60.00 gamma=60.00
Last column: nearest neighbours and their distance in Å.
Fractional coordinates of all 29 atoms:
Pr  0.0554  0.6482  0.6482  3 Tm 3.31, 3 Dy 3.65, 3 Pr 3.67
Pr  0.1252  0.1252  0.1252  4 Tm 3.47-3.48, 3 Dy 3.60, 3 Pr 3.67
Pr  0.1252  0.1252  0.6244  4 Tm 3.47-3.48, 3 Dy 3.60, 3 Pr 3.67
Pr  0.1252  0.6244  0.1252  4 Tm 3.47-3.48, 3 Dy 3.60, 3 Pr 3.67
Pr  0.3518  0.3518  0.3518  3 Tm 3.31, 3 Dy 3.65, 3 Pr 3.67
Pr  0.3518  0.3518  0.9446  3 Tm 3.31, 3 Dy 3.65, 3 Pr 3.67
Pr  0.3518  0.9446  0.3518  3 Tm 3.31, 3 Dy 3.65, 3 Pr 3.67
Pr  0.3756  0.8748  0.8748  4 Tm 3.47-3.48, 3 Dy 3.60, 3 Pr 3.67
Pr  0.6244  0.1252  0.1252  4 Tm 3.47-3.48, 3 Dy 3.60, 3 Pr 3.67
Pr  0.6482  0.0554  0.6482  3 Tm 3.31, 3 Dy 3.65, 3 Pr 3.67
Pr  0.6482  0.6482  0.0554  3 Tm 3.31, 3 Dy 3.65, 3 Pr 3.67
Pr  0.6482  0.6482  0.6482  3 Tm 3.31, 3 Dy 3.65, 3 Pr 3.67
Pr  0.8748  0.3756  0.8748  4 Tm 3.47-3.48, 3 Dy 3.60, 3 Pr 3.67
Pr  0.8748  0.8748  0.3756  4 Tm 3.47-3.48, 3 Dy 3.60, 3 Pr 3.67
Pr  0.8748  0.8748  0.8748  4 Tm 3.47-3.48, 3 Dy 3.60, 3 Pr 3.67
Pr  0.9446  0.3518  0.3518  3 Tm 3.31, 3 Dy 3.65, 3 Pr 3.67
Dy  0.2634  0.2634  0.7366  8 Pr 3.60-3.65, 4 Tm 4.02
Dy  0.2634  0.7366  0.2634  8 Pr 3.60-3.65, 4 Tm 4.02
Dy  0.2634  0.7366  0.7366  8 Pr 3.60-3.65, 4 Tm 4.02
Dy  0.7366  0.2634  0.2634  8 Pr 3.60-3.65, 4 Tm 4.02
Dy  0.7366  0.2634  0.7366  8 Pr 3.60-3.65, 4 Tm 4.02
Dy  0.7366  0.7366  0.2634  8 Pr 3.60-3.65, 4 Tm 4.02
Tm  0.0000  0.0000  0.0000  8 Pr 3.48
Tm  0.0000  0.0000  0.5000  8 Pr 3.31-3.47
Tm  0.0000  0.5000  0.0000  8 Pr 3.31-3.47
Tm  0.0000  0.5000  0.5000  8 Pr 3.31-3.47
Tm  0.5000  0.0000  0.0000  8 Pr 3.31-3.47
Tm  0.5000  0.0000  0.5000  8 Pr 3.31-3.47
Tm  0.5000  0.5000  0.0000  8 Pr 3.31-3.47

**Symmetry**: No. 225
**Formation energy**: 0.20 eV per atom
**Final energy**: -4.47 eV per atom
**Magnetization**: 0.0 μB per formula unit

***

Compound: PrDy2Tm4
Source: the Alexandria database
Functional: GGA-PBE
Structure: relaxed

Unit cell a=6.1209 b=7.9129 c=9.3509 alpha=85.09 beta=77.28 gamma=82.43
Last column: nearest neighbours and their distance in Å.
Fractional coordinates of all 14 atoms:
Pr  0.0000  0.0000  0.0000  3 Dy 3.52-3.56, 7 Tm 3.54-3.59, 2 Pr 3.54-3.55
Pr  0.4275  0.1455  0.1449  2 Dy 3.53-3.57, 2 Pr 3.54-3.55, 8 Tm 3.54-3.58
Dy  0.0682  0.8567  0.3609  7 Tm 3.50-3.57, 3 Dy 3.51-3.54, 2 Pr 3.56-3.57
Dy  0.2138  0.5730  0.0727  9 Tm 3.52-3.55, 2 Pr 3.52-3.53, 1 Dy 3.54
Dy  0.7126  0.5730  0.5729  10 Tm 3.50-3.53, 2 Dy 3.51-3.53
Dy  0.9276  0.1444  0.6430  9 Tm 3.51-3.55, 2 Dy 3.52-3.53, 1 Pr 3.54
Tm  0.1425  0.7138  0.7137  6 Tm 3.49-3.53, 5 Dy 3.50-3.55, 1 Pr 3.54
Tm  0.2840  0.4306  0.4324  6 Tm 3.49-3.54, 5 Dy 3.52-3.55, 1 Pr 3.54
Tm  0.3587  0.2890  0.7845  6 Tm 3.49-3.57, 4 Dy 3.51-3.55, 2 Pr 3.56
Tm  0.4985  0.0011  0.5030  6 Tm 3.50-3.55, 5 Dy 3.52-3.55, 1 Pr 3.54
Tm  0.5721  0.8556  0.8553  3 Dy 3.50-3.54, 6 Tm 3.50-3.57, 3 Pr 3.54-3.58
Tm  0.6399  0.7124  0.2168  5 Tm 3.49-3.57, 5 Dy 3.52-3.55, 2 Pr 3.56-3.57
Tm  0.7871  0.4323  0.9280  6 Tm 3.50-3.57, 4 Dy 3.52-3.54, 2 Pr 3.56
Tm  0.8542  0.2901  0.2899  5 Tm 3.49-3.57, 4 Dy 3.50-3.57, 3 Pr 3.55-3.59

**Symmetry**: No. 1
**Formation energy**: 0.03 eV per atom
**ΔE to the lowest computed polymorph**: 0 meV per atom
**Final energy**: -4.53 eV per atom
**Magnetization**: 0.0 μB per formula unit

***

Compound: Pr3Dy2Tm6
Source: the Alexandria database
Functional: GGA-PBE
Structure: relaxed

Unit cell a=6.1619 b=6.1619 c=11.5076 alpha=95.17 beta=95.17 gamma=120.10
Last column: nearest neighbours and their distance in Å.
Fractional coordinates of all 11 atoms:
Pr  0.0000  0.0000  0.0000  6 Pr 3.54-3.59, 6 Tm 3.54
Pr  0.3358  0.6642  0.0000  6 Pr 3.51-3.59, 6 Tm 3.52-3.56
Pr  0.6642  0.3358  0.0000  6 Pr 3.51-3.59, 6 Tm 3.52-3.56
Dy  0.1662  0.8338  0.5000  6 Tm 3.45, 3 Dy 3.55-3.56
Dy  0.8338  0.1662  0.5000  6 Tm 3.45, 3 Dy 3.55-3.56
Tm  0.0858  0.4186  0.2552  2 Dy 3.45, 3 Pr 3.54-3.56, 6 Tm 3.55-3.56
Tm  0.2489  0.2489  0.7452  2 Dy 3.45, 3 Pr 3.52-3.54, 6 Tm 3.55-3.56
Tm  0.4186  0.0858  0.2552  2 Dy 3.45, 3 Pr 3.54-3.56, 6 Tm 3.55-3.56
Tm  0.5814  0.9142  0.7448  2 Dy 3.45, 3 Pr 3.54-3.56, 6 Tm 3.55-3.56
Tm  0.7511  0.7511  0.2548  2 Dy 3.45, 3 Pr 3.52-3.54, 6 Tm 3.55-3.56
Tm  0.9142  0.5814  0.7448  2 Dy 3.45, 3 Pr 3.54-3.56, 6 Tm 3.55-3.56

**Symmetry**: No. 12
**Formation energy**: 0.21 eV per atom
**ΔE to the lowest computed polymorph**: 0 meV per atom
**Final energy**: -4.37 eV per atom
**Magnetization**: 0.1 μB per formula unit

***

Compound: Pr2Dy9Tm
Source: the Alexandria database
Functional: GGA-PBE
Structure: relaxed

Unit cell a=5.0439 b=5.0439 c=15.1233 alpha=90.00 beta=90.00 gamma=90.00
Last column: nearest neighbours and their distance in Å.
Fractional coordinates of all 12 atoms:
Pr  0.0000  0.0000  0.1677  12 Dy 3.57-3.59
Pr  0.0000  0.0000  0.8323  12 Dy 3.57-3.59
Dy  0.0000  0.5000  0.0000  8 Dy 3.57-3.59, 4 Pr 3.58
Dy  0.0000  0.5000  0.3365  8 Dy 3.53-3.58, 2 Tm 3.53, 2 Pr 3.59
Dy  0.0000  0.5000  0.6635  8 Dy 3.53-3.58, 2 Tm 3.53, 2 Pr 3.59
Dy  0.5000  0.0000  0.0000  8 Dy 3.57-3.59, 4 Pr 3.58
Dy  0.5000  0.0000  0.3365  8 Dy 3.53-3.58, 2 Tm 3.53, 2 Pr 3.59
Dy  0.5000  0.0000  0.6635  8 Dy 3.53-3.58, 2 Tm 3.53, 2 Pr 3.59
Dy  0.5000  0.5000  0.1686  4 Pr 3.57, 8 Dy 3.58-3.59
Dy  0.5000  0.5000  0.5000  8 Dy 3.53, 4 Tm 3.57
Dy  0.5000  0.5000  0.8314  4 Pr 3.57, 8 Dy 3.58-3.59
Tm  0.0000  0.0000  0.5000  12 Dy 3.53-3.57

**Symmetry**: No. 123
**Formation energy**: 0.02 eV per atom
**ΔE to the lowest computed polymorph**: 0 meV per atom
**Final energy**: -4.60 eV per atom
**Magnetization**: 0.0 μB per formula unit

***

Compound: PrDy5Tm5
Source: the Alexandria database
Functional: GGA-PBE
Structure: relaxed

Unit cell a=6.0110 b=6.0110 c=11.6322 alpha=90.00 beta=90.00 gamma=120.00
Last column: nearest neighbours and their distance in Å.
Fractional coordinates of all 11 atoms:
Pr  0.0000  0.0000  0.0000  5 Dy 3.47-3.76
Dy  0.0000  0.0000  0.3235  9 Tm 3.54-3.64, 1 Pr 3.76
Dy  0.0000  0.0000  0.6765  9 Tm 3.54-3.64, 1 Pr 3.76
Dy  0.3333  0.6667  0.1565  7 Dy 3.64-3.98, 3 Tm 3.70, 3 Pr 3.92
Dy  0.3333  0.6667  0.8435  7 Dy 3.64-3.98, 3 Tm 3.70, 3 Pr 3.92
Dy  0.6667  0.3333  0.0000  2 Tm 3.09
Tm  0.0002  0.5001  0.5000  6 Tm 3.00-3.23
Tm  0.4999  0.9998  0.5000  6 Tm 3.00-3.23
Tm  0.4999  0.5001  0.5000  6 Tm 3.00-3.23
Tm  0.6667  0.3333  0.2656  1 Dy 3.09, 3 Tm 3.23
Tm  0.6667  0.3333  0.7344  1 Dy 3.09, 3 Tm 3.23

**Symmetry**: No. 187
**Formation energy**: 0.31 eV per atom
**Final energy**: -4.24 eV per atom
**Magnetization**: 0.0 μB per formula unit